# 1
Here is an optimized crystal structure of La5Y from Alexandria via LeMat-Bulk. Energies are from PBEsol.

Calculated values
energy of formation: 0.0393 eV per atom
magnetic moment: 0.00 μB/f.u.
E_tot: -33.3 eV per cell
symmetry: P1

Lattice parameters (Å, degrees): 3.6433 6.9295 8.6353 104.53 89.95 105.23
Last column: nearest neighbours and their distance in Å.
Element x y z (fractional)
1 Y 0.7198 0.4411 0.9457  10 La 3.60-3.67, 2 Y 3.64
2 La 0.3327 0.6641 0.6703  10 La 3.60-3.69, 2 Y 3.61
3 La 0.3908 0.7830 0.2765  10 La 3.60-3.69, 2 Y 3.65
4 La 0.9996 0.9975 0.9975  9 La 3.60-3.69, 3 Y 3.60-3.63
5 La 0.0528 0.1074 0.6078  10 La 3.60-3.64, 2 Y 3.66-3.67
6 La 0.6709 0.3402 0.3355  1 Y 3.60, 11 La 3.62-3.69



# 2
Here is an optimized crystal structure of NbSnTe2 from Alexandria via LeMat-Bulk. Energies are from PBEsol.

Calculated values
magnetic moment: 0.00 μB/f.u.
E_tot: -23.2 eV per cell
symmetry: R-3m
energy relative to the elements, uncorrected: -0.260 eV per atom

Lattice parameters (Å, degrees): 3.5283 3.5283 10.2226 80.06 80.06 60.00
Last column: nearest neighbours and their distance in Å.
Element x y z (fractional)
1 Te 0.8958 0.8958 0.3125  3 Nb 2.77
2 Sn 0.0000 0.0000 0.0000  2 Te 3.13
3 Te 0.1042 0.1042 0.6875  3 Nb 2.77
4 Nb 0.5000 0.5000 0.5000  6 Te 2.77



# 3
Here is an optimized crystal structure of LiCaZr2 from Alexandria via LeMat-Bulk. Energies are from PBEsol.

Calculated values
energy of formation: 0.3074 eV per atom
magnetic moment: 0.00 μB/f.u.
E_tot: -21.0 eV per cell
symmetry: Pmmm

Lattice parameters (Å, degrees): 3.1992 5.0701 5.8735 90.00 90.00 90.00
Last column: nearest neighbours and their distance in Å.
Element x y z (fractional)
1 Zr 0.0000 0.0000 0.0000  6 Zr 3.00-3.20, 4 Ca 3.34
2 Ca 0.5000 0.0000 0.5000  4 Li 3.00, 2 Ca 3.20, 4 Zr 3.34
3 Zr 0.5000 0.5000 0.0000  6 Zr 3.00-3.20, 4 Li 3.34
4 Li 0.0000 0.5000 0.5000  4 Ca 3.00, 2 Li 3.20, 4 Zr 3.34



# 4
Here is an optimized crystal structure of Re2SiP from Alexandria via LeMat-Bulk. Energies are from PBEsol.

Calculated values
magnetic moment: 0.01 μB/f.u.
E_tot: -37.3 eV per cell
symmetry: Cmmm
energy relative to the elements, uncorrected: 0.238 eV per atom

Lattice parameters (Å, degrees): 2.8510 2.8510 7.7307 90.00 90.00 118.17
Last column: nearest neighbours and their distance in Å.
Element x y z (fractional)
1 P 0.5000 0.5000 0.0000  4 Re 2.38
2 Re 0.0000 0.0000 0.7576  2 P 2.38, 2 Si 2.47
3 Si 0.5000 0.5000 0.5000  4 Re 2.47
4 Re 0.0000 0.0000 0.2424  2 P 2.38, 2 Si 2.47



# 5
Here is an optimized crystal structure of FeP2Os from Alexandria via LeMat-Bulk. Energies are from PBEsol.

Calculated values
energy of formation: -0.1842 eV per atom
magnetic moment: 0.01 μB/f.u.
E_tot: -33.5 eV per cell
symmetry: C2/m

Lattice parameters (Å, degrees): 2.8064 3.8923 4.7581 101.33 90.00 111.13
Last column: nearest neighbours and their distance in Å.
Element x y z (fractional)
1 Fe 0.0000 0.0000 0.5000  6 P 2.33-2.37
2 Os 0.5000 0.0000 0.0000  6 P 2.42-2.44
3 P 0.7485 0.4970 0.7332  3 Fe 2.33-2.37, 3 Os 2.42-2.44
4 P 0.2515 0.5030 0.2668  3 Fe 2.33-2.37, 3 Os 2.42-2.44



# 6
Here is an optimized crystal structure of Cd2InHg from Alexandria via LeMat-Bulk. Energies are from PBEsol.

Calculated values
energy of formation: 0.0210 eV per atom
magnetic moment: 0.00 μB/f.u.
E_tot: -5.9 eV per cell
symmetry: C2/m

Lattice parameters (Å, degrees): 3.1796 5.1445 6.4072 115.06 106.50 84.88
Last column: nearest neighbours and their distance in Å.
Element x y z (fractional)
1 In 0.0000 0.5000 0.0000  4 Hg 2.90-3.14, 4 Cd 3.15, 2 In 3.18
2 Cd 0.0000 0.0000 0.5000  6 Cd 2.90-3.18, 2 Hg 3.15, 2 In 3.15
3 Hg 0.5000 0.0000 0.0000  4 In 2.90-3.14, 4 Cd 3.15, 2 Hg 3.18
4 Cd 0.5000 0.5000 0.5000  6 Cd 2.90-3.18, 2 In 3.15, 2 Hg 3.15



# 7
Here is an optimized crystal structure of ZrAsCl from Alexandria via LeMat-Bulk. Energies are from PBEsol.

Calculated values
magnetic moment: 0.00 μB/f.u.
E_tot: -19.0 eV per cell
symmetry: I4mm
energy relative to the elements, uncorrected: -0.938 eV per atom

Lattice parameters (Å, degrees): 3.0601 3.0601 7.0074 102.61 102.61 90.00
Last column: nearest neighbours and their distance in Å.
Element x y z (fractional)
1 As 0.9710 0.9710 0.9420  4 Zr 2.91, 4 As 3.06
2 Zr 0.3247 0.3247 0.6495  4 Cl 2.69, 4 As 2.91
3 Cl 0.7043 0.7043 0.4086  4 Zr 2.69



# 8
Here is an optimized crystal structure of ScZn2AgCl from Alexandria via LeMat-Bulk. Energies are from PBEsol.

Calculated values
magnetic moment: 0.00 μB/f.u.
E_tot: -13.5 eV per cell
symmetry: P4/mmm
energy relative to the elements, uncorrected: 0.320 eV per atom

Lattice parameters (Å, degrees): 4.6850 5.3452 5.3452 90.00 90.00 90.00
Last column: nearest neighbours and their distance in Å.
Element x y z (fractional)
1 Zn 0.0000 0.5000 0.0000  2 Sc 2.67
2 Sc 0.0000 0.0000 0.0000  2 Cl 2.34
3 Cl 0.5000 0.0000 0.0000  2 Sc 2.34
4 Ag 0.5000 0.5000 0.5000  8 Zn 3.55, 4 Cl 3.78
5 Zn 0.0000 0.0000 0.5000  2 Sc 2.67



# 9
Here is an optimized crystal structure of Ba4LiIn from Alexandria via LeMat-Bulk. Energies are from PBEsol.

Calculated values
energy of formation: 0.3071 eV per atom
magnetic moment: 0.00 μB/f.u.
E_tot: -11.7 eV per cell
symmetry: F-43m

Lattice parameters (Å, degrees): 7.2385 7.2385 7.2385 60.00 60.00 60.00
Last column: nearest neighbours and their distance in Å.
Element x y z (fractional)
1 Ba 0.3763 0.3763 0.3763  6 Ba 3.58-3.66
2 In 0.7500 0.7500 0.7500  12 Ba 4.24, 4 Li 4.43
3 Ba 0.3763 0.8712 0.3763  6 Ba 3.58-3.66
4 Ba 0.8712 0.3763 0.3763  6 Ba 3.58-3.66
5 Li 0.0000 0.0000 0.0000  12 Ba 4.25, 4 In 4.43
6 Ba 0.3763 0.3763 0.8712  6 Ba 3.58-3.66



# 10
Here is an optimized crystal structure of Si3MoRh from Alexandria via LeMat-Bulk. Energies are from PBEsol.

Calculated values
magnetic moment: 3.16 μB/f.u.
E_tot: -32.3 eV per cell
symmetry: Pm-3m
energy relative to the elements, uncorrected: 0.959 eV per atom

Lattice parameters (Å, degrees): 4.5144 4.5144 4.5144 90.00 90.00 90.00
Last column: nearest neighbours and their distance in Å.
Element x y z (fractional)
1 Mo 0.5000 0.5000 0.5000  12 Si 3.19
2 Rh 0.0000 0.0000 0.0000  6 Si 2.26
3 Si 0.5000 0.0000 0.0000  2 Rh 2.26
4 Si 0.0000 0.5000 0.0000  2 Rh 2.26
5 Si 0.0000 0.0000 0.5000  2 Rh 2.26



# 11
Here is an optimized crystal structure of AgPRhS2 from Alexandria via LeMat-Bulk. Energies are from PBEsol.

Calculated values
magnetic moment: 0.42 μB/f.u.
E_tot: -19.2 eV per cell
symmetry: P4/mmm
energy relative to the elements, uncorrected: 1.371 eV per atom

Lattice parameters (Å, degrees): 4.6196 4.6403 4.6403 90.00 90.00 90.00
Last column: nearest neighbours and their distance in Å.
Element x y z (fractional)
1 Rh 0.5000 0.5000 0.5000  8 S 3.27, 4 P 3.28
2 P 0.5000 0.0000 0.0000  2 Ag 2.31
3 S 0.0000 0.5000 0.0000  2 Ag 2.32
4 S 0.0000 0.0000 0.5000  2 Ag 2.32
5 Ag 0.0000 0.0000 0.0000  2 P 2.31, 4 S 2.32



# 12
Here is an optimized crystal structure of BP5Pb6O20 from Alexandria via LeMat-Bulk. Energies are from PBEsol.

Calculated values
magnetic moment: 0.00 μB/f.u.
E_tot: -228.1 eV per cell
symmetry: P-4
energy relative to the elements, uncorrected: -1.972 eV per atom

Lattice parameters (Å, degrees): 6.9685 6.9685 9.7717 90.00 90.00 90.00
Last column: nearest neighbours and their distance in Å.
Element x y z (fractional)
1 O 0.1184 0.8555 0.0880  1 P 1.56
2 Pb 0.5000 0.0000 0.9877  2 O 2.25
3 P 0.3346 0.7402 0.6940  4 O 1.53-1.60
4 Pb 0.0000 0.5000 0.0123  2 O 2.25
5 O 0.8078 0.4187 0.7332  1 P 1.54
6 Pb 0.1469 0.2385 0.6758  4 O 2.44-2.73
7 P 0.7402 0.6654 0.3060  4 O 1.53-1.60
8 P 0.6654 0.2598 0.6940  4 O 1.53-1.60
9 Pb 0.2385 0.8531 0.3242  4 O 2.44-2.73
10 O 0.4187 0.1922 0.2668  1 P 1.54
11 O 0.4673 0.7947 0.8119  1 P 1.53
12 O 0.1922 0.5813 0.7332  1 P 1.54
13 Pb 0.7615 0.1469 0.3242  4 O 2.44-2.73
14 O 0.9030 0.7814 0.3745  1 P 1.55
15 O 0.5327 0.2053 0.8119  1 P 1.53
16 O 0.5121 0.3253 0.5815  1 B 1.46, 1 P 1.60
17 Pb 0.8531 0.7615 0.6758  4 O 2.44-2.73
18 O 0.6747 0.5121 0.4185  1 B 1.46, 1 P 1.60
19 O 0.1445 0.1184 0.9120  1 P 1.56
20 P 0.2598 0.3346 0.3060  4 O 1.53-1.60
21 O 0.8816 0.1445 0.0880  1 P 1.56
22 P 0.0000 0.0000 0.0000  4 O 1.56
23 O 0.7947 0.5327 0.1881  1 P 1.53
24 O 0.4879 0.6747 0.5815  1 B 1.46, 1 P 1.60
25 O 0.2053 0.4673 0.1881  1 P 1.53
26 O 0.3253 0.4879 0.4185  1 B 1.46, 1 P 1.60
27 O 0.0970 0.2186 0.3745  1 P 1.55
28 O 0.2186 0.9030 0.6255  1 P 1.55
29 O 0.7814 0.0970 0.6255  1 P 1.55
30 O 0.8555 0.8816 0.9120  1 P 1.56
31 B 0.5000 0.5000 0.5000  4 O 1.46
32 O 0.5813 0.8078 0.2668  1 P 1.54



# 13
Here is an optimized crystal structure of TcBI2 from Alexandria via LeMat-Bulk. Energies are from PBEsol.

Calculated values
magnetic moment: 0.00 μB/f.u.
E_tot: -15.9 eV per cell
symmetry: Fm-3m
energy relative to the elements, uncorrected: 1.486 eV per atom

Lattice parameters (Å, degrees): 4.6925 4.6925 4.6925 60.00 60.00 60.00
Last column: nearest neighbours and their distance in Å.
Element x y z (fractional)
1 I 0.2500 0.2500 0.2500  4 B 2.87, 4 Tc 2.87
2 B 0.0000 0.0000 0.0000  8 I 2.87
3 I 0.7500 0.7500 0.7500  4 Tc 2.87, 4 B 2.87
4 Tc 0.5000 0.5000 0.5000  8 I 2.87



# 14
Here is an optimized crystal structure of SrYTe2 from Alexandria via LeMat-Bulk. Energies are from PBEsol.

Calculated values
magnetic moment: 0.00 μB/f.u.
E_tot: -21.7 eV per cell
symmetry: R3m
energy relative to the elements, uncorrected: -1.486 eV per atom

Lattice parameters (Å, degrees): 4.3244 4.3244 8.2206 74.75 74.75 60.00
Last column: nearest neighbours and their distance in Å.
Element x y z (fractional)
1 Te 0.8265 0.8265 0.5204  3 Y 3.04, 3 Sr 3.23
2 Sr 0.2469 0.2469 0.2594  6 Te 3.23-3.33
3 Te 0.0075 0.0075 0.9776  3 Y 3.10, 3 Sr 3.33
4 Y 0.4191 0.4191 0.7426  6 Te 3.04-3.10



# 15
Here is an optimized crystal structure of MgTl2In from Alexandria via LeMat-Bulk. Energies are from PBEsol.

Calculated values
energy of formation: 0.0051 eV per atom
magnetic moment: 0.00 μB/f.u.
E_tot: -9.9 eV per cell
symmetry: P2/m

Lattice parameters (Å, degrees): 3.3356 5.3185 5.9043 90.00 96.32 90.00
Last column: nearest neighbours and their distance in Å.
Element x y z (fractional)
1 Tl 0.7594 0.0000 0.7483  2 Mg 3.18, 2 In 3.21, 5 Tl 3.22-3.49
2 Tl 0.2406 0.0000 0.2517  2 Mg 3.18, 2 In 3.21, 5 Tl 3.22-3.49
3 In 0.5000 0.5000 0.0000  4 Tl 3.21, 4 Mg 3.23-3.55, 2 In 3.34
4 Mg 0.0000 0.5000 0.5000  4 Tl 3.18, 4 In 3.23-3.55, 2 Mg 3.34



# 16
Here is an optimized crystal structure of IrRu2 from Alexandria via LeMat-Bulk. Energies are from PBEsol.

Calculated values
energy of formation: -0.0435 eV per atom
magnetic moment: 0.00 μB/f.u.
E_tot: -60.6 eV per cell
symmetry: Cm

Lattice parameters (Å, degrees): 2.6979 5.0650 6.3488 103.24 90.00 105.45
Last column: nearest neighbours and their distance in Å.
Element x y z (fractional)
1 Ir 0.9986 0.9972 0.9972  8 Ru 2.63-2.69, 4 Ir 2.70-2.74
2 Ru 0.3334 0.6668 0.6664  8 Ru 2.64-2.70, 4 Ir 2.68-2.69
3 Ir 0.6681 0.3362 0.3364  8 Ru 2.64-2.68, 4 Ir 2.70-2.74
4 Ru 0.7223 0.4445 0.9428  4 Ir 2.64-2.67, 8 Ru 2.64-2.72
5 Ru 0.3891 0.7782 0.2788  5 Ir 2.64-2.66, 7 Ru 2.64-2.72
6 Ru 0.0552 0.1104 0.6117  3 Ir 2.63-2.65, 9 Ru 2.64-2.70



# 17
Here is an optimized crystal structure of ZrRe2Te from Alexandria via LeMat-Bulk. Energies are from PBEsol.

Calculated values
magnetic moment: 0.00 μB/f.u.
E_tot: -38.0 eV per cell
symmetry: Pmmm
energy relative to the elements, uncorrected: 0.326 eV per atom

Lattice parameters (Å, degrees): 3.2727 4.4391 4.8266 90.00 90.00 90.00
Last column: nearest neighbours and their distance in Å.
Element x y z (fractional)
1 Zr 0.0000 0.5000 0.5000  4 Te 2.76, 4 Re 2.92
2 Te 0.5000 0.0000 0.5000  4 Zr 2.76, 4 Re 2.92
3 Re 0.5000 0.5000 0.0000  4 Re 2.76, 4 Zr 2.92
4 Re 0.0000 0.0000 0.0000  4 Re 2.76, 4 Te 2.92



# 18
Here is an optimized crystal structure of SiRu2Se from Alexandria via LeMat-Bulk. Energies are from PBEsol.

Calculated values
magnetic moment: 0.22 μB/f.u.
E_tot: -30.0 eV per cell
symmetry: P4mm
energy relative to the elements, uncorrected: -0.023 eV per atom

Lattice parameters (Å, degrees): 3.2766 3.2766 5.3032 90.00 90.00 90.00
Last column: nearest neighbours and their distance in Å.
Element x y z (fractional)
1 Ru 0.0000 0.0000 0.9424  4 Si 2.45, 1 Se 2.56
2 Se 0.0000 0.0000 0.4596  6 Ru 2.46-2.74
3 Ru 0.5000 0.5000 0.3030  4 Se 2.46, 2 Si 2.61-2.69
4 Si 0.5000 0.5000 0.7950  6 Ru 2.45-2.69



# 19
Here is an optimized crystal structure of SrIn2Fe from Alexandria via LeMat-Bulk. Energies are from PBEsol.

Calculated values
energy of formation: 0.2645 eV per atom
magnetic moment: 2.66 μB/f.u.
E_tot: -15.7 eV per cell
symmetry: P4/mmm

Lattice parameters (Å, degrees): 4.4663 4.4663 4.7280 90.00 90.00 90.00
Last column: nearest neighbours and their distance in Å.
Element x y z (fractional)
1 Sr 0.5000 0.5000 0.5000  4 Fe 3.16, 8 In 3.25
2 In 0.5000 0.0000 0.0000  4 In 3.16, 4 Fe 3.25, 4 Sr 3.25
3 Fe 0.0000 0.0000 0.5000  4 Sr 3.16, 8 In 3.25
4 In 0.0000 0.5000 0.0000  4 In 3.16, 4 Fe 3.25, 4 Sr 3.25



# 20
Here is an optimized crystal structure of TaTi2AsOs from Alexandria via LeMat-Bulk. Energies are from PBEsol.

Calculated values
energy of formation: 1.5381 eV per atom
magnetic moment: 0.00 μB/f.u.
E_tot: -38.8 eV per cell
symmetry: P4/mmm

Lattice parameters (Å, degrees): 4.5943 4.5943 4.6858 90.00 90.00 90.00
Last column: nearest neighbours and their distance in Å.
Element x y z (fractional)
1 Ti 0.5000 0.0000 0.0000  2 Ta 2.30
2 As 0.0000 0.0000 0.5000  2 Ta 2.34
3 Os 0.5000 0.5000 0.5000  4 As 3.25, 8 Ti 3.28
4 Ti 0.0000 0.5000 0.0000  2 Ta 2.30
5 Ta 0.0000 0.0000 0.0000  4 Ti 2.30, 2 As 2.34